Entry from Alexandria via LeMat-Bulk: a geometry-optimized Tm6Pt2C structure (PBE).

Geometry as CIF:
```
data_Tm6Pt2C
_chemical_formula_sum 'Tm12 Pt4 C2'
_cell_length_a 6.494
_cell_length_b 6.974
_cell_length_c 11.240
_cell_angle_alpha 90.00
_cell_angle_beta 124.04
_cell_angle_gamma 90.00
_symmetry_space_group_name_H-M 'P 1'
_symmetry_Int_Tables_number 1
loop_
_symmetry_equiv_pos_as_xyz
'x,y,z'
loop_
_atom_site_label
_atom_site_type_symbol
_atom_site_fract_x
_atom_site_fract_y
_atom_site_fract_z
Tm1 Tm 0.135 0.033 0.244
Tm2 Tm 0.135 0.467 0.744
Tm3 Tm 0.236 0.702 0.056
Tm4 Tm 0.236 0.798 0.556
Tm5 Tm 0.359 0.182 0.055
Tm6 Tm 0.359 0.318 0.555
Tm7 Tm 0.641 0.682 0.445
Tm8 Tm 0.641 0.818 0.945
Tm9 Tm 0.764 0.202 0.444
Tm10 Tm 0.764 0.298 0.944
Tm11 Tm 0.865 0.533 0.256
Tm12 Tm 0.865 0.967 0.756
Pt1 Pt 0.285 0.086 0.753
Pt2 Pt 0.285 0.414 0.253
Pt3 Pt 0.715 0.586 0.747
Pt4 Pt 0.715 0.914 0.247
C1 C 0.000 0.000 0.000
C2 C 0.000 0.500 0.500
```

Summary:
* space-group type: P2_1/c, No. 14
* size of the total moment: 0.0 μB per formula unit
* calculated formation energy: -0.772 eV per atom